The following is a PBE+U calculation of a geometry-optimized VOsSeO2 structure, from Alexandria via LeMat-Bulk.

Properties
* magnetic moment: 0.31 Bohr magnetons per cell
* calculated volume: 14.724 A^3/atom
* energy: -6.722 eV/atom

a = 3.6105 Å, b = 5.6475 Å, c = 3.6105 Å
α = 90.00°, β = 90.00°, γ = 90.00°
Each line ends with the local moment (μB).
Atoms (fractional coordinates):
O (0.5000, 0.0000, 0.0000)  -0.01
O (0.0000, 0.0000, 0.5000)  -0.01
Se (0.5000, 0.5000, 0.5000)  -0.01
Os (0.0000, 0.5000, 0.0000)  0.35
V (0.0000, 0.0000, 0.0000)  -0.03